This record from Alexandria describes a geometry-optimized Ac2TbSmSe4 structure. The functional is PBE.

Summary:
Formation energy from raw total energies in eV per formula unit: -14.6
Magnetic moment in μB/f.u.: 0.00
Total energy in eV per atom: -5.760

abc: 7.313 4.197 7.711
angles: 90.00 108.29 90.00
Space group P2/m (No. 10)
Inequivalent atoms, fractional coordinates:
Ac1 0.000 0.000 0.000
Ac2 0.500 0.500 0.000
Tb1 0.000 0.500 0.500
Sm1 0.500 0.000 0.500
Se1 0.238 0.000 0.724
Se2 0.255 0.500 0.274

This record from Alexandria describes a geometry-optimized Ac3TbSm3Se8 structure. The functional is PBE.

Summary:
Formation energy from raw total energies in eV per formula unit: -28.2
Magnetic moment in μB/f.u.: 0.00
Total energy in eV per atom: -5.810

abc: 8.4948 8.4948 21.4894
angles: 90.00 90.00 120.00
Space group R-3m (No. 166, hexagonal axes)
Inequivalent atoms, fractional coordinates:
Ac1 0.0000 0.5000 0.0000
Tb1 0.0000 0.0000 0.5000
Sm1 0.0000 0.5000 0.5000
Se1 0.0000 0.0000 0.2435
Se2 0.0009 0.5004 0.2435

This record from Alexandria describes a geometry-optimized Ac2TbSmSe5 structure. The functional is PBE.

Summary:
Formation energy from raw total energies in eV per formula unit: -13.2
Magnetic moment in μB/f.u.: 0.00
Total energy in eV per atom: -5.357

abc: 5.176 5.176 11.020
angles: 90.00 90.00 90.00
Space group P4/mmm (No. 123)
Inequivalent atoms, fractional coordinates:
Ac1 0.000 0.000 0.210
Tb1 0.500 0.500 0.000
Sm1 0.500 0.500 0.500
Se1 0.000 0.000 0.500
Se2 0.000 0.500 0.000
Se3 0.500 0.500 0.253

This record from Alexandria describes a geometry-optimized Ac4TbSm3Se8 structure. The functional is PBE.

Summary:
Formation energy from raw total energies in eV per formula unit: -29.2
Magnetic moment in μB/f.u.: 0.00
Total energy in eV per atom: -5.769

abc: 8.5460 8.5460 21.4705
angles: 90.00 90.00 120.00
Space group R-3m (No. 166, hexagonal axes)
Inequivalent atoms, fractional coordinates:
Ac1 0.0000 0.0000 0.0000
Ac2 0.0000 0.5000 0.0000
Tb1 0.0000 0.0000 0.5000
Sm1 0.0000 0.5000 0.5000
Se1 0.0000 0.0000 0.2431
Se2 0.0035 0.5018 0.2422

Look up the magnetic moment of the third one.
0.00 μB/f.u.

Which formula does entry 2 have?
Ac3TbSm3Se8

Which of these has the highest total energy?
Ac2TbSmSe5

What is the formula in the third record?
Ac2TbSmSe5